# SiTcNiRh

Crystalline SiTcNiRh at its relaxed geometry (PBE, Alexandria).

Summary:
Space-group type: Cm, No. 8
E_form (uncorrected) (eV per atom): -0.267

Unit cell a=4.8570 b=4.8570 c=4.8187 alpha=118.75 beta=118.75 gamma=32.33
With the nearest neighbours (Å) after each atom.
Sites, in units of the cell vectors:
1 Si 0.0000 0.0000 0.0000  2 Ni 2.41, 3 Rh 2.45-2.63, 3 Tc 2.53-2.61
2 Tc 0.2691 0.2691 0.5597  3 Si 2.53-2.61, 3 Ni 2.60, 2 Tc 2.70, 4 Rh 2.75-2.82
3 Ni 0.5032 0.5032 0.4178  2 Si 2.41, 3 Tc 2.60, 3 Rh 2.61-2.69
4 Rh 0.7254 0.7254 0.0259  3 Si 2.45-2.63, 3 Ni 2.61-2.69, 2 Rh 2.70


# ScCdAu2

Crystalline ScCdAu2 at its relaxed geometry (PBE, Alexandria).

Summary:
Space-group type: Pmm2, No. 25
ΔE_f (eV/f.u.): -1.79

Unit cell a=3.5723 b=3.5869 c=6.1909 alpha=90.00 beta=90.00 gamma=90.00
With the nearest neighbours (Å) after each atom.
Sites, in units of the cell vectors:
1 Sc 0.0000 0.0000 0.0000  5 Au 2.83-2.94, 4 Cd 3.15
2 Cd 0.5000 0.5000 0.6980  6 Au 2.88-3.13, 4 Sc 3.15
3 Au 0.0000 0.0000 0.4752  4 Cd 2.88, 1 Sc 2.94, 4 Au 3.04
4 Au 0.5000 0.5000 0.2030  4 Sc 2.83, 4 Au 3.04, 2 Cd 3.06-3.13